Crystalline LiTb4Sm5 at its relaxed geometry, computed with GGA-PBE.

Summary:
Formation energy: 0.034 eV/atom
Fermi-level density of states: 13.32 states/eV per cell

```
LiTb4Sm5
1.0
3.609 0.000 0.000
0.000 3.609 0.000
0.000 0.000 24.335
Li Tb Sm
1 4 5
Cartesian
0.000 0.000 0.000
0.000 0.000 4.565
0.000 0.000 9.631
0.000 0.000 14.705
0.000 0.000 19.771
1.805 1.805 2.085
1.805 1.805 7.100
1.805 1.805 12.168
1.805 1.805 17.235
1.805 1.805 22.250
```